Entry 1:
VASP calculation (PBE) on a relaxed structure of KAlCO5.

Lattice parameters (Å, degrees): 6.4525 6.4525 6.0091 90.00 90.00 107.82
Each line ends with the local moment (μB).
Element x y z (fractional)
C  0.7559  0.2441  0.7500  -0.01
O  0.8826  0.8332  0.7500  0.68
O  0.3663  0.6337  0.2500  0.19
K  0.6231  0.3769  0.2500  0.00
Al  0.0000  0.0000  0.5000  -0.02
O  0.1836  0.8164  0.4405  0.08
O  0.8164  0.1836  0.5595  0.08
O  0.1174  0.1668  0.2500  0.68
O  0.6337  0.3663  0.7500  0.19
O  0.1836  0.8164  0.0595  0.08
O  0.8332  0.8826  0.2500  0.68
O  0.1668  0.1174  0.7500  0.68
K  0.3769  0.6231  0.7500  0.00
Al  0.0000  0.0000  0.0000  -0.02
C  0.2441  0.7559  0.2500  -0.01
O  0.8164  0.1836  0.9405  0.08

Fermi-level density of states   8.861 states/eV/cell
Formation energy without anion corrections   -153 kJ per mole of atoms
Space-group type   Cmcm (63)

Entry 2:
VASP calculation (PBE) on a relaxed structure of K2AlPCO7.

Lattice parameters (Å, degrees): 6.6371 5.4543 9.6869 91.40 90.00 90.00
Element x y z (fractional)
P  0.2500  0.7333  0.5611
O  0.7500  0.7087  0.0126
O  0.7500  0.0809  0.5590
K  0.9717  0.7507  0.2355
O  0.7500  0.5371  0.4975
O  0.2500  0.4629  0.5025
K  0.0283  0.2493  0.7645
O  0.4428  0.7722  0.6492
O  0.2500  0.4465  0.2080
C  0.2500  0.2636  0.1149
O  0.7500  0.9473  0.8221
Al  0.2500  0.2272  0.3620
P  0.7500  0.2667  0.4389
O  0.2500  0.0527  0.1779
O  0.0572  0.7722  0.6492
O  0.9428  0.2278  0.3508
O  0.7500  0.5535  0.7920
K  0.5283  0.7507  0.2355
O  0.2500  0.9191  0.4410
C  0.7500  0.7364  0.8851
K  0.4717  0.2493  0.7645
O  0.2500  0.2913  0.9874
O  0.5572  0.2278  0.3508
Al  0.7500  0.7728  0.6380

Fermi-level density of states   0.000 states/eV/cell
Formation energy without anion corrections   -211 kJ per mole of atoms
Space-group type   P2_1/m (11)

Entry 3:
VASP calculation (PBE) on a relaxed structure of KAlPt2C.

Lattice parameters (Å, degrees): 4.5818 6.5208 4.5818 90.00 90.00 90.00
Each line ends with the local moment (μB).
Element x y z (fractional)
Al  0.0000  0.0000  0.0000  0.00
K  0.0000  0.5000  0.0000  0.03
Pt  0.5000  0.0000  0.0000  -0.01
C  0.5000  0.5000  0.5000  1.01
Pt  0.0000  0.0000  0.5000  0.00

Fermi-level density of states   1.850 states/eV/cell
Space-group type   P4/mmm (123)
Energy of formation   1.458 eV/atom

Entry 4:
VASP calculation (PBE) on a relaxed structure of K2AlRhC.

Lattice parameters (Å, degrees): 6.3537 3.8027 6.3537 90.00 90.00 90.00
Each line ends with the local moment (μB).
Element x y z (fractional)
Rh  0.0000  0.0000  0.0000  0.08
C  0.0000  0.5000  0.0000  0.13
Al  0.5000  0.5000  0.5000  0.04
K  0.5000  0.0000  0.0000  0.01
K  0.0000  0.0000  0.5000  0.01

Fermi-level density of states   3.341 states/eV/cell
Space-group type   P4/mmm (123)
Energy of formation   0.876 eV/atom